Record 1
Below is a relaxed NaNd2Se3 crystal, with properties calculated at the GGA-PBEsol level.

Structure (POSCAR):
```
NaNd2Se3
1.0
-1.659 -0.899 -3.701
-5.185 -1.057 2.581
1.813 7.039 -0.191
Na Nd Se
1 2 3
Direct
0.000 0.000 0.000
0.664 0.664 0.329
0.336 0.336 0.671
0.332 0.832 0.665
0.000 0.500 0.000
0.668 0.168 0.335
```

Results
* E_form (uncorrected): -1744 meV per atom
* N(E_F): 1.66 states/eV/cell
* space-group type: Immm (71)
* energy: -5.62 eV per atom

Record 2
Below is a relaxed SiTeW crystal, with properties calculated at the GGA-PBEsol level.

Structure (POSCAR):
```
SiTeW
1.0
-3.320 2.698 1.121
-4.062 -1.633 0.624
-1.711 -0.175 4.074
Si Te W
1 1 1
Direct
0.000 0.000 0.000
0.500 0.500 0.500
0.250 0.250 0.250
```

Results
* E_form (uncorrected): 708 meV per atom
* N(E_F): 4.07 states/eV/cell
* space-group type: F-43m (216)
* energy: -6.99 eV per atom

Record 3
Below is a relaxed NaCdAgCl2 crystal, with properties calculated at the GGA-PBEsol level.

Structure (POSCAR):
```
NaCdAgCl2
1.0
4.976 0.000 0.000
0.000 4.976 0.000
0.000 0.000 5.398
Na Cl Ag Cd
1 2 1 1
Direct
0.000 0.000 0.000
0.000 0.500 0.000
0.500 0.000 0.000
0.500 0.500 0.500
0.000 0.000 0.500
```

Results
* E_form (uncorrected): -145 meV per atom
* N(E_F): 0.07 states/eV/cell
* space-group type: P4/mmm (123)
* energy: -2.13 eV per atom

> Which of these has the lowest E_form (uncorrected)?

NaNd2Se3